A geometry-optimized AgIN2F structure, computed with GGA-PBE.

a = 4.0708 Å, b = 4.0708 Å, c = 4.6687 Å
α = 90.00°, β = 90.00°, γ = 90.00°
Closest atoms and distances in Å follow each position.
Fractional coordinates of all 5 atoms:
I1 0.0000 0.0000 0.0000  4 N 2.04
N1 0.0000 0.5000 0.0000  2 I 2.04
N2 0.5000 0.0000 0.0000  2 I 2.04
Ag1 0.5000 0.5000 0.5000  4 F 2.88, 8 N 3.10
F1 0.0000 0.0000 0.5000  2 I 2.33

Results
offset from the most stable computed form = 0.000 eV/f.u.
size of the total moment = 0.00 μB per cell
density of states at the Fermi level = 1.8 states/eV/f.u.
formation energy (no corrections) = 1.262 eV/atom
VASP energy = -3.32 eV/atom

A geometry-optimized AgIN2F structure, computed with GGA-PBE.

a = 4.1010 Å, b = 4.1010 Å, c = 6.4310 Å
α = 90.00°, β = 90.00°, γ = 90.00°
Closest atoms and distances in Å follow each position.
Fractional coordinates of all 5 atoms:
I1 0.0000 0.0000 0.5000  4 F 2.90, 2 Ag 3.22
N1 0.0000 0.5000 0.0000  2 Ag 2.05
N2 0.5000 0.0000 0.0000  2 Ag 2.05
Ag1 0.0000 0.0000 0.0000  4 N 2.05
F1 0.5000 0.5000 0.5000  4 I 2.90

Results
offset from the most stable computed form = 1.578 eV/f.u.
size of the total moment = 5.37 μB per cell
density of states at the Fermi level = 2.7 states/eV/f.u.
formation energy (no corrections) = 1.577 eV/atom
VASP energy = -3.01 eV/atom

A geometry-optimized AgIN2F structure, computed with GGA-PBE.

a = 4.2396 Å, b = 4.2396 Å, c = 4.2132 Å
α = 90.00°, β = 90.00°, γ = 90.00°
Closest atoms and distances in Å follow each position.
Fractional coordinates of all 5 atoms:
I1 0.5000 0.5000 0.5000  8 N 2.99, 4 F 3.00
N1 0.0000 0.5000 0.0000  2 Ag 2.12
N2 0.5000 0.0000 0.0000  2 Ag 2.12
Ag1 0.0000 0.0000 0.0000  2 F 2.11, 4 N 2.12
F1 0.0000 0.0000 0.5000  2 Ag 2.11

Results
offset from the most stable computed form = 0.963 eV/f.u.
size of the total moment = 1.40 μB per cell
density of states at the Fermi level = 3.8 states/eV/f.u.
formation energy (no corrections) = 1.454 eV/atom
VASP energy = -3.13 eV/atom